Record 1
Density functional theory data (PBE) for a relaxed Nd8Dy3Pu crystal.

Output
- volume (Å³ per cell) = 403.4
- energy (eV for the cell shown) = -64.6
- SG = C2/m, No. 12
- total magnetization (μB/cell) = 6.82
- DOS(E_F) (states/eV/f.u.) = 25.60

```
Nd8Dy3Pu
1.0
11.9802 0.0000 0.0000
-5.9901 8.6323 -7.2104
0.0000 -5.2848 8.3148
Dy Nd Pu
3 8 1
Direct
0.5000 0.0000 0.0000 Dy
0.0000 0.5000 0.0000 Dy
0.5000 0.5000 0.0000 Dy
0.8192 0.6383 0.9774 Nd
0.1712 0.8625 0.0274 Nd
0.3087 0.1375 0.9726 Nd
0.8288 0.1375 0.9726 Nd
0.1808 0.3617 0.0226 Nd
0.6784 0.3568 0.0331 Nd
0.3216 0.6432 0.9669 Nd
0.6913 0.8625 0.0274 Nd
0.0000 0.0000 0.0000 Pu
```

Record 2
Density functional theory data (PBE) for a relaxed Nd12Dy6Pu crystal.

Output
- volume (Å³ per cell) = 640.1
- energy (eV for the cell shown) = -98.5
- SG = R-3, No. 148
- total magnetization (μB/cell) = 6.70
- DOS(E_F) (states/eV/f.u.) = 34.74

```
Nd12Dy6Pu
1.0
9.0590 -0.6170 -3.0893
-4.1289 8.0869 -3.0893
-0.4072 -0.6170 9.5626
Nd Dy Pu
12 6 1
Direct
0.6275 0.9427 0.4187 Nd
0.8961 0.8446 0.2601 Nd
0.2601 0.8961 0.8446 Nd
0.1554 0.7399 0.1039 Nd
0.3725 0.0573 0.5813 Nd
0.4187 0.6275 0.9427 Nd
0.9427 0.4187 0.6275 Nd
0.1039 0.1554 0.7399 Nd
0.5813 0.3725 0.0573 Nd
0.0573 0.5813 0.3725 Nd
0.7399 0.1039 0.1554 Nd
0.8446 0.2601 0.8961 Nd
0.3154 0.4693 0.2124 Dy
0.2124 0.3154 0.4693 Dy
0.7876 0.6846 0.5307 Dy
0.5307 0.7876 0.6846 Dy
0.6846 0.5307 0.7876 Dy
0.4693 0.2124 0.3154 Dy
0.0000 0.0000 0.0000 Pu
```

Record 3
Density functional theory data (PBE) for a relaxed Nd6Dy5Pu crystal.

Output
- volume (Å³ per cell) = 396.4
- energy (eV for the cell shown) = -65.3
- SG = Immm, No. 71
- total magnetization (μB/cell) = 6.40
- DOS(E_F) (states/eV/f.u.) = 23.91

```
Nd6Dy5Pu
1.0
9.3565 1.0509 -1.5199
-4.0385 8.5052 -1.5199
-0.4834 -0.8686 5.0057
Nd Dy Pu
6 5 1
Direct
0.7524 0.7524 0.2524 Nd
0.5867 0.9171 0.7519 Nd
0.2476 0.2476 0.7476 Nd
0.9171 0.5867 0.7519 Nd
0.4133 0.0829 0.2481 Nd
0.0829 0.4133 0.2481 Nd
0.3336 0.6664 0.0000 Dy
0.6664 0.3336 0.0000 Dy
0.8347 0.1653 0.5000 Dy
0.1653 0.8347 0.5000 Dy
0.5000 0.5000 0.5000 Dy
0.0000 0.0000 0.0000 Pu
```

Record 4
Density functional theory data (PBE) for a relaxed Nd5Dy12Pu crystal.

Output
- volume (Å³ per cell) = 586.3
- energy (eV for the cell shown) = -91.2
- SG = C2/m, No. 12
- total magnetization (μB/cell) = 6.59
- DOS(E_F) (states/eV/f.u.) = 36.44

```
Nd5Dy12Pu
1.0
-8.0954 0.6508 7.9233
-0.4409 -6.3360 8.1939
3.3286 3.8034 3.1497
Dy Nd Pu
12 5 1
Direct
0.6868 0.0000 0.9420 Dy
0.5143 0.3297 0.5461 Dy
0.8441 0.6703 0.5461 Dy
0.1559 0.3297 0.4539 Dy
0.6629 0.3324 0.0437 Dy
0.0048 0.3324 0.9563 Dy
0.4857 0.6703 0.4539 Dy
0.9952 0.6676 0.0437 Dy
0.3132 0.0000 0.0580 Dy
0.8341 0.0000 0.4425 Dy
0.3371 0.6676 0.9563 Dy
0.1659 0.0000 0.5575 Dy
0.3392 0.3216 0.0000 Nd
0.8286 0.3429 0.5000 Nd
0.1714 0.6571 0.5000 Nd
0.6608 0.6784 0.0000 Nd
0.5000 0.0000 0.5000 Nd
0.0000 0.0000 0.0000 Pu
```

Record 5
Density functional theory data (PBE) for a relaxed Nd6Dy3Pu crystal.

Output
- volume (Å³ per cell) = 674.2
- energy (eV for the cell shown) = -109.1
- SG = P2_1/c, No. 14
- total magnetization (μB/cell) = 12.26
- DOS(E_F) (states/eV/f.u.) = 17.18

```
Nd6Dy3Pu
1.0
-4.8302 3.1375 -2.2674
-5.7820 -4.8308 5.6326
1.2165 8.0942 8.1907
Dy Nd Pu
6 12 2
Direct
0.5000 0.5000 0.0000 Dy
0.0000 0.0000 0.5000 Dy
0.8782 0.3335 0.2492 Dy
0.3782 0.1665 0.7492 Dy
0.6218 0.8335 0.2508 Dy
0.1218 0.6665 0.7508 Dy
0.0140 0.3411 0.5699 Nd
0.8613 0.0176 0.7564 Nd
0.6387 0.5176 0.7436 Nd
0.1387 0.9824 0.2436 Nd
0.5140 0.1589 0.0699 Nd
0.4933 0.8362 0.5713 Nd
0.9860 0.6589 0.4301 Nd
0.3613 0.4824 0.2564 Nd
0.5067 0.1638 0.4287 Nd
0.9933 0.6638 0.0713 Nd
0.4860 0.8411 0.9301 Nd
0.0067 0.3362 0.9287 Nd
0.0000 0.0000 0.0000 Pu
0.5000 0.5000 0.5000 Pu
```

Record 6
Density functional theory data (PBE) for a relaxed NdDyPu crystal.

Output
- volume (Å³ per cell) = 94.1
- energy (eV for the cell shown) = -23.3
- energy above the most stable polymorph in this dataset (eV per atom) = 0.000
- SG = I4mm, No. 107
- total magnetization (μB/cell) = 6.16
- DOS(E_F) (states/eV/f.u.) = 6.94

```
NdDyPu
1.0
3.5460 0.0000 0.0000
0.0000 3.5460 0.0000
-1.7730 -1.7730 7.4860
Pu Dy Nd
1 1 1
Direct
0.0019 0.0019 0.0038 Pu
0.6624 0.6624 0.3249 Dy
0.3356 0.3356 0.6713 Nd
```

Record 7
Density functional theory data (PBE) for a relaxed Nd6Dy2Pu crystal.

Output
- volume (Å³ per cell) = 611.7
- energy (eV for the cell shown) = -101.0
- SG = C2/m, No. 12
- total magnetization (μB/cell) = 13.14
- DOS(E_F) (states/eV/f.u.) = 18.08

```
Nd6Dy2Pu
1.0
7.1217 0.0000 0.0000
0.0000 7.3411 -4.5750
0.0000 -4.3677 14.4226
Dy Nd Pu
4 12 2
Direct
0.4998 0.1914 0.2302 Dy
0.9998 0.3086 0.2698 Dy
0.5002 0.8086 0.7698 Dy
0.0002 0.6914 0.7302 Dy
0.4998 0.2493 0.6733 Nd
0.7434 0.2462 0.4501 Nd
0.7565 0.2539 0.0500 Nd
0.5002 0.7507 0.3267 Nd
0.2565 0.2461 0.4500 Nd
0.2435 0.7461 0.9500 Nd
0.0002 0.7493 0.1733 Nd
0.7435 0.7539 0.5500 Nd
0.2434 0.2538 0.0499 Nd
0.9998 0.2507 0.8267 Nd
0.7566 0.7462 0.9501 Nd
0.2566 0.7538 0.5499 Nd
0.0000 0.0000 0.5000 Pu
0.5000 0.5000 0.0000 Pu
```

Record 8
Density functional theory data (PBE) for a relaxed Nd6Dy4Pu crystal.

Output
- volume (Å³ per cell) = 735.4
- energy (eV for the cell shown) = -119.0
- SG = Cmcm, No. 63
- total magnetization (μB/cell) = 12.99
- DOS(E_F) (states/eV/f.u.) = 28.92

```
Nd6Dy4Pu
1.0
5.8758 0.0000 0.0000
-2.9379 4.8406 0.0000
0.0000 0.0000 25.8556
Dy Nd Pu
8 12 2
Direct
0.1501 0.3002 0.0436 Dy
0.5466 0.0932 0.8769 Dy
0.4534 0.9068 0.1231 Dy
0.8499 0.6998 0.9564 Dy
0.4534 0.9068 0.3769 Dy
0.8499 0.6998 0.5436 Dy
0.1501 0.3002 0.4564 Dy
0.5466 0.0932 0.6231 Dy
0.7976 0.5953 0.1030 Nd
0.1221 0.2441 0.1815 Nd
0.4585 0.9171 0.2500 Nd
0.2024 0.4047 0.6030 Nd
0.1221 0.2441 0.3185 Nd
0.8779 0.7559 0.8185 Nd
0.2024 0.4047 0.8970 Nd
0.8779 0.7559 0.6815 Nd
0.5000 0.0000 0.0000 Nd
0.7976 0.5953 0.3970 Nd
0.5000 0.0000 0.5000 Nd
0.5415 0.0829 0.7500 Nd
0.2051 0.4103 0.7500 Pu
0.7949 0.5897 0.2500 Pu
```

Record 9
Density functional theory data (PBE) for a relaxed Nd2Dy6Pu crystal.

Output
- volume (Å³ per cell) = 575.2
- energy (eV for the cell shown) = -101.1
- SG = P-1, No. 2
- total magnetization (μB/cell) = 12.10
- DOS(E_F) (states/eV/f.u.) = 16.39

```
Nd2Dy6Pu
1.0
-3.7168 -2.6790 4.8101
7.5029 -0.6701 6.7659
-6.6771 7.6147 0.4157
Nd Dy Pu
4 12 2
Direct
0.4153 0.3462 0.2899 Nd
0.9148 0.2917 0.3474 Nd
0.5847 0.6538 0.7101 Nd
0.0852 0.7083 0.6526 Nd
0.8428 0.2944 0.0093 Dy
0.1572 0.7056 0.9907 Dy
0.0127 0.6202 0.2925 Dy
0.3334 0.3554 0.9573 Dy
0.5103 0.2931 0.6194 Dy
0.9873 0.3798 0.7075 Dy
0.3419 0.0085 0.2940 Dy
0.1672 0.0417 0.6442 Dy
0.6581 0.9915 0.7060 Dy
0.6666 0.6446 0.0427 Dy
0.8328 0.9583 0.3558 Dy
0.4897 0.7069 0.3806 Dy
0.2499 0.0252 0.9745 Pu
0.7501 0.9748 0.0255 Pu
```

Record 10
Density functional theory data (PBE) for a relaxed NdDy2Pu crystal.

Output
- volume (Å³ per cell) = 125.4
- energy (eV for the cell shown) = -27.7
- energy above the most stable polymorph in this dataset (eV per atom) = 0.044
- SG = P4/mmm, No. 123
- total magnetization (μB/cell) = 6.22
- DOS(E_F) (states/eV/f.u.) = 16.20

```
NdDy2Pu
1.0
5.0075 0.0000 0.0000
0.0000 5.0042 0.0000
0.0000 0.0000 5.0042
Pu Dy Nd
1 2 1
Direct
0.5000 0.0000 0.0000 Pu
0.0000 0.5000 0.0000 Dy
0.0000 0.0000 0.5000 Dy
0.5000 0.5000 0.5000 Nd
```